No. 1
KRb2S2 | PBE-GGA | optimized geometry

Calculated values
offset from the most stable computed form: 0.00 kcal/mol of atoms
E_form (uncorrected): -0.75 eV per atom
space group: P4/mbm, No. 127

Unit cell a=9.103 b=9.103 c=4.221 alpha=90.00 beta=90.00 gamma=90.00
Site moments in Bohr magnetons follow the coordinates.
Fractional coordinates of all 10 atoms:
K: 0.000 0.000 0.000  0.00
K: 0.500 0.500 0.000  0.00
S: 0.328 0.828 0.000  0.28
S: 0.828 0.672 0.000  0.28
S: 0.672 0.172 0.000  0.28
S: 0.172 0.328 0.000  0.28
Rb: 0.131 0.631 0.500  0.01
Rb: 0.631 0.869 0.500  0.01
Rb: 0.869 0.369 0.500  0.01
Rb: 0.369 0.131 0.500  0.01

***

No. 2
K2RbS2 | PBE-GGA | optimized geometry

Calculated values
offset from the most stable computed form: 2.09 kcal/mol of atoms
E_form (uncorrected): -0.81 eV per atom
space group: P4/mbm, No. 127

Unit cell a=9.105 b=9.105 c=3.532 alpha=90.00 beta=90.00 gamma=90.00
Fractional coordinates of all 10 atoms:
K: 0.377 0.877 0.000
K: 0.877 0.623 0.000
K: 0.623 0.123 0.000
K: 0.123 0.377 0.000
S: 0.176 0.676 0.500
S: 0.676 0.824 0.500
S: 0.824 0.324 0.500
S: 0.324 0.176 0.500
Rb: 0.000 0.000 0.000
Rb: 0.500 0.500 0.000

***

No. 3
K2RbS2 | PBE-GGA | optimized geometry

Calculated values
offset from the most stable computed form: 4.02 kcal/mol of atoms
E_form (uncorrected): -0.72 eV per atom
space group: I4/mmm, No. 139

Unit cell a=5.047 b=5.047 c=7.529 alpha=70.42 beta=70.42 gamma=90.00
Site moments in Bohr magnetons follow the coordinates.
Fractional coordinates of all 5 atoms:
K: 0.750 0.250 0.500  0.01
K: 0.250 0.750 0.500  0.01
S: 0.389 0.389 0.222  0.26
S: 0.611 0.611 0.778  0.26
Rb: 0.000 0.000 0.000  0.00

***

No. 4
KRbS | PBE-GGA | optimized geometry

Calculated values
E_form (uncorrected): -1.03 eV per atom
space group: Pnma, No. 62

Unit cell a=5.018 b=8.355 c=9.602 alpha=90.00 beta=90.00 gamma=90.00
Fractional coordinates of all 12 atoms:
K: 0.750 0.646 0.426
K: 0.250 0.354 0.574
K: 0.750 0.146 0.074
K: 0.250 0.854 0.926
Rb: 0.250 0.976 0.325
Rb: 0.750 0.024 0.675
Rb: 0.250 0.476 0.175
Rb: 0.750 0.524 0.825
S: 0.250 0.737 0.612
S: 0.750 0.263 0.388
S: 0.250 0.237 0.888
S: 0.750 0.763 0.112

***

No. 5
K6Rb2S | PBE-GGA | optimized geometry

Calculated values
E_form (uncorrected): -0.28 eV per atom
space group: R3m, No. 160

Unit cell a=9.254 b=9.254 c=9.737 alpha=61.63 beta=61.63 gamma=60.00
Fractional coordinates of all 9 atoms:
K: 0.745 0.281 0.230
K: 0.281 0.745 0.230
K: 0.745 0.745 0.230
K: 0.450 0.900 0.751
K: 0.900 0.900 0.751
K: 0.900 0.450 0.751
Rb: 0.227 0.227 0.318
Rb: 0.418 0.418 0.745
S: 0.669 0.669 0.993

***

No. 6
K12Rb7S | PBE-GGA | optimized geometry

Calculated values
E_form (uncorrected): -0.08 eV per atom
space group: R-3m, No. 166

Unit cell a=8.494 b=14.544 c=14.544 alpha=116.30 beta=101.23 gamma=101.23
Fractional coordinates of all 20 atoms:
K: 0.091 0.591 0.183
K: 0.091 0.183 0.592
K: 0.518 0.644 0.000
K: 0.483 0.000 0.357
K: 0.500 0.408 0.591
K: 0.126 0.643 0.644
K: 0.874 0.357 0.356
K: 0.500 0.592 0.409
K: 0.517 0.000 0.643
K: 0.482 0.356 0.000
K: 0.909 0.817 0.408
K: 0.909 0.409 0.817
Rb: 0.089 0.788 0.000
Rb: 0.911 0.000 0.212
Rb: 0.699 0.788 0.788
Rb: 0.500 0.000 0.000
Rb: 0.301 0.212 0.212
Rb: 0.089 0.000 0.788
Rb: 0.911 0.212 0.000
S: 0.000 0.000 0.000

***

No. 7
KRbS2 | PBE-GGA | optimized geometry

Calculated values
offset from the most stable computed form: 9.12 kcal/mol of atoms
E_form (uncorrected): -0.47 eV per atom
space group: P4/mmm, No. 123

Unit cell a=4.552 b=4.914 c=4.914 alpha=90.00 beta=90.00 gamma=90.00
Fractional coordinates of all 4 atoms:
K: 0.500 0.500 0.500
S: 0.000 0.000 0.500
S: 0.000 0.500 0.000
Rb: 0.500 0.000 0.000

***

No. 8
K3Rb8S | PBE-GGA | optimized geometry

Calculated values
E_form (uncorrected): -0.19 eV per atom
space group: P6_3mc, No. 186

Unit cell a=10.367 b=14.188 c=14.188 alpha=120.00 beta=90.00 gamma=90.00
Fractional coordinates of all 24 atoms:
K: 0.711 0.702 0.851
K: 0.711 0.149 0.298
K: 0.711 0.149 0.851
K: 0.211 0.298 0.149
K: 0.211 0.851 0.702
K: 0.211 0.851 0.149
Rb: 0.001 0.070 0.535
Rb: 0.001 0.465 0.930
Rb: 0.001 0.465 0.535
Rb: 0.501 0.930 0.465
Rb: 0.501 0.535 0.070
Rb: 0.501 0.535 0.465
Rb: 0.781 0.450 0.225
Rb: 0.781 0.775 0.550
Rb: 0.781 0.775 0.225
Rb: 0.281 0.550 0.775
Rb: 0.281 0.225 0.450
Rb: 0.281 0.225 0.775
Rb: 0.747 0.333 0.667
Rb: 0.247 0.667 0.333
Rb: 0.963 0.000 0.000
Rb: 0.463 0.000 0.000
S: 0.083 0.333 0.667
S: 0.583 0.667 0.333

***

Number 1: calculated volume 34.98 A^3/atom. Number 2: calculated volume 29.28 A^3/atom. Number 3: calculated volume 33.77 A^3/atom. Number 4: calculated volume 33.54 A^3/atom. Number 5: calculated volume 67.08 A^3/atom. Number 6: calculated volume 74.85 A^3/atom. Number 7: calculated volume 27.48 A^3/atom. Number 8: calculated volume 75.30 A^3/atom.